# 1
Pm12ReSi7 | Alexandria | PBE-GGA | relaxed; formation energy without anion corrections = -7.39 eV per formula unit; calculated total energy = -5.740 eV per atom; theoretical density = 6.32 g/cm³
1.0
7.353 4.245 2.980
-7.353 4.245 2.980
0.000 -8.491 2.980
Pm Re Si
12 1 7
direct
0.099 0.315 0.398
0.125 0.653 0.272
0.272 0.125 0.653
0.315 0.398 0.099
0.347 0.728 0.875
0.398 0.099 0.315
0.602 0.901 0.685
0.653 0.272 0.125
0.685 0.602 0.901
0.728 0.875 0.347
0.875 0.347 0.728
0.901 0.685 0.602
0.000 0.000 0.000
0.024 0.935 0.254
0.065 0.746 0.976
0.254 0.024 0.935
0.500 0.500 0.500
0.746 0.976 0.065
0.935 0.254 0.024
0.976 0.065 0.746


# 2
Li2CeGeH | Alexandria | PBE-GGA | relaxed; calculated total energy = -3.948 eV per atom; theoretical density = 4.72 g/cm³
1.0
2.150 -5.448 0.000
2.150 5.448 0.000
0.000 0.000 6.841
Li Ce Ge H
4 2 2 2
direct
0.159 0.841 0.562
0.159 0.841 0.938
0.841 0.159 0.062
0.841 0.159 0.438
0.430 0.570 0.750
0.570 0.430 0.250
0.291 0.709 0.250
0.709 0.291 0.750
0.000 0.000 0.000
0.000 0.000 0.500


# 3
Na2TcRu2 | Alexandria | PBE-GGA | relaxed; E above lowest polymorph = 0 meV/atom; calculated total energy = -5.041 eV per atom; theoretical density = 5.11 g/cm³; ΔH_f (0 K) = 1.27 eV/atom
1.0
-1.688 1.688 9.863
1.688 -1.688 9.863
1.688 1.688 -9.863
Na Tc Ru
2 1 2
direct
0.114 0.114 0.000
0.886 0.886 0.000
0.500 0.500 0.000
0.250 0.750 0.500
0.750 0.250 0.500